(1)
Material: LaPN2O
Method: DFT, PBE
State: relaxed

Cell: 3.660 3.660 3.952 Å, 90.00 90.00 90.00°
Element x y z (fractional)
N 0.500 0.000 0.000
O 0.000 0.000 0.500
La 0.500 0.500 0.500
N 0.000 0.500 0.000
P 0.000 0.000 0.000

Summary:
Size of the total moment in μB per formula unit: 0.00

=====

(2)
Material: LaPN2O
Method: DFT, PBE
State: relaxed

Cell: 5.054 5.054 4.296 Å, 90.00 90.00 90.00°
Each line ends with the local moment (μB).
Element x y z (fractional)
N 0.500 0.000 0.000  1.23
P 0.500 0.500 0.500  -0.94
O 0.000 0.000 0.500  0.01
La 0.000 0.000 0.000  0.06
N 0.000 0.500 0.000  1.23

Summary:
Size of the total moment in μB per formula unit: 1.66

=====

(3)
Material: LaP2NO
Method: DFT, PBE
State: relaxed

Cell: 6.109 6.109 4.275 Å, 90.00 90.00 90.00°
Each line ends with the local moment (μB).
Element x y z (fractional)
O 0.000 0.000 0.500  0.12
La 0.000 0.000 0.000  0.00
N 0.500 0.500 0.500  1.81
P 0.500 0.000 0.000  0.00
P 0.000 0.500 0.000  0.00

Summary:
Size of the total moment in μB per formula unit: 2.81
ΔE to the lowest computed polymorph in eV per atom: 1.642

=====

(4)
Material: LaPNO2
Method: DFT, PBE
State: relaxed

Cell: 4.316 4.316 3.477 Å, 90.00 90.00 90.00°
Element x y z (fractional)
O 0.500 0.000 0.000
La 0.500 0.500 0.500
O 0.000 0.500 0.000
N 0.000 0.000 0.000
P 0.000 0.000 0.500

Summary:
Size of the total moment in μB per formula unit: 0.14

=====

(5)
Material: La4PN2O
Method: DFT, PBE
State: relaxed

Cell: 5.821 7.184 7.184 Å, 47.79 66.10 66.10°
Each line ends with the local moment (μB).
Element x y z (fractional)
N 0.750 0.750 0.750  0.01
N 0.250 0.250 0.250  0.01
La 0.135 0.865 0.419  -0.10
O 0.500 0.500 0.500  0.00
La 0.865 0.581 0.135  -0.10
La 0.581 0.419 0.865  -0.10
P 0.000 0.000 0.000  0.02
La 0.419 0.135 0.581  -0.10

Summary:
Size of the total moment in μB per formula unit: 1.00

=====

(6)
Material: LaPNO2
Method: DFT, PBE
State: relaxed

Cell: 4.341 4.341 5.230 Å, 90.00 90.00 90.00°
Each line ends with the local moment (μB).
Element x y z (fractional)
O 0.500 0.000 0.000  0.11
N 0.000 0.000 0.500  1.22
O 0.000 0.500 0.000  0.11
P 0.500 0.500 0.500  -0.82
La 0.000 0.000 0.000  0.10

Summary:
Size of the total moment in μB per formula unit: 0.36

=====

(7)
Material: LaPNO2
Method: DFT, PBE
State: relaxed

Cell: 3.889 3.889 3.753 Å, 90.00 90.00 90.00°
Element x y z (fractional)
O 0.000 0.500 0.000
O 0.500 0.000 0.000
N 0.000 0.000 0.500
P 0.000 0.000 0.000
La 0.500 0.500 0.500

Summary:
Size of the total moment in μB per formula unit: 0.00

=====

(8)
Material: LaP2NO
Method: DFT, PBE
State: relaxed

Cell: 3.662 3.662 5.925 Å, 90.00 90.00 90.00°
Element x y z (fractional)
N 0.000 0.000 0.000
P 0.000 0.500 0.000
P 0.500 0.000 0.000
La 0.500 0.500 0.500
O 0.000 0.000 0.500

Summary:
Size of the total moment in μB per formula unit: 0.00
ΔE to the lowest computed polymorph in eV per atom: 0.000

=====

| no. | uncorrected formation energy (eV/atom) |
| --- | --- |
| 1 | -1.03 |
| 2 | 1.02 |
| 3 | 1.20 |
| 4 | -0.44 |
| 5 | -1.59 |
| 6 | 0.23 |
| 7 | -1.56 |
| 8 | -0.44 |